# InWOF2

A relaxed structure of InWOF2 (GGA+U, the Alexandria database).

Cell: 4.337 4.337 4.298 Å, 90.00 90.00 90.00°
Space group P4/mmm (No. 123)
Asymmetric unit:
In  0.000  0.000  0.000 [1 per cell]
W  0.500  0.500  0.500 [1 per cell]
O  0.000  0.000  0.500 [1 per cell]
F  0.000  0.500  0.000 [2 per cell]

Summary:
density of states at the Fermi level = 0.9 states/eV/cell
VASP energy = -23.27 eV per cell
energy relative to the lowest polymorph listed for this composition = 3.75 eV/f.u.